Density functional theory data (GGA-PBE) for HfBeNi2 after structural relaxation.

The value obtained for the formation energy from the elements is 89.8 meV/atom.

The space group is I-42d (No. 122) and the conventional cell measures 3.725, 3.725 and 16.012 Å, with angles of 90.00, 90.00 and 90.00 degrees. The distinct sites, in fractional coordinates, are Hf at (0.000, 0.000, 0.000), Be at (0.000, 0.000, 0.500) and Ni at (0.183, 0.250, 0.625).



Density functional theory data (GGA-PBE) for Li3RuAu after structural relaxation.

The relative energy among the computed polymorphs comes out at 0 kJ/mol of formula units. The value obtained for the formation energy from the elements is 637.4 meV/atom.

The space group is Pm-3m (No. 221) and the conventional cell measures 4.622, 4.622 and 4.622 Å, with angles of 90.00, 90.00 and 90.00 degrees. The distinct sites, in fractional coordinates, are Li at (0.000, 0.000, 0.500), Ru at (0.500, 0.500, 0.500) and Au at (0.000, 0.000, 0.000).



Density functional theory data (GGA-PBE) for CsBeSi2Sn after structural relaxation.

The space group is P4/mmm (No. 123) and the conventional cell measures 4.733, 4.733 and 5.437 Å, with angles of 90.00, 90.00 and 90.00 degrees. The distinct sites, in fractional coordinates, are Cs at (0.000, 0.000, 0.000), Be at (0.000, 0.000, 0.500), Si at (0.000, 0.500, 0.500) and Sn at (0.500, 0.500, 0.000).



| no. | energy (eV per atom) | Fermi-level density of states (states/eV per cell) |
| --- | --- | --- |
| 1 | -6.2208 | 11.8 |
| 2 | -3.0216 | 7.2 |
| 3 | -3.0173 | 2.2 |